{
  "formula": "Li4MnB2O6",
  "functional": "PBE+U",
  "state": "optimized geometry",
  "crystal_system": "orthorhombic",
  "mass_density_g_cm3": 2.647,
  "total_energy_ev_per_atom": -6.6817,
  "cell": [[-2.9281, -0.2112, 1.6547], [-3.8815, -0.5571, -6.9399], [0.8316, -9.3165, 0.2827]],
  "species": ["Li", "Li", "Li", "Li", "Li", "Li", "Li", "Li", "Mn", "Mn", "B", "B", "B", "B", "O", "O", "O", "O", "O", "O", "O", "O", "O", "O", "O", "O"],
  "fractional_positions": [[0.5000, 0.6697, 0.4443], [0.0000, 0.1697, 0.0557], [0.0000, 0.8303, 0.9443], [0.5000, 0.3303, 0.5557], [0.0000, 0.5062, 0.2970], [0.5000, 0.0062, 0.2030], [0.5000, 0.9938, 0.7970], [0.0000, 0.4938, 0.7030], [0.0000, 0.0000, 0.5000], [0.5000, 0.5000, 0.0000], [0.5000, 0.2679, 0.2984], [0.0000, 0.7679, 0.2016], [0.0000, 0.2321, 0.7984], [0.5000, 0.7321, 0.7016], [0.5000, 0.1227, 0.3860], [0.0000, 0.6227, 0.1140], [0.0000, 0.3773, 0.8860], [0.5000, 0.8773, 0.6140], [0.0000, 0.7500, 0.3495], [0.5000, 0.2500, 0.1505], [0.5000, 0.7500, 0.8495], [0.0000, 0.2500, 0.6505], [0.5000, 0.4228, 0.3620], [0.0000, 0.9228, 0.1380], [0.0000, 0.0772, 0.8620], [0.5000, 0.5772, 0.6380]]
}